This record from Alexandria describes a geometry-optimized Li2NbTc structure. The functional is PBEsol.

```
data_Li2NbTc
_space_group_name_H-M_alt 'F m -3 m'
_space_group_IT_number 225
_space_group_name_Hall '-F 4 2 3'
_cell_length_a 5.949
_cell_length_b 5.949
_cell_length_c 5.949
_cell_angle_alpha 90.00
_cell_angle_beta 90.00
_cell_angle_gamma 90.00
loop_
_atom_site_label
_atom_site_type_symbol
_atom_site_fract_x
_atom_site_fract_y
_atom_site_fract_z
Li1 Li 0.250 0.250 0.250
Nb1 Nb 0.000 0.000 0.000
Tc1 Tc 0.000 0.000 0.500
```

Computed properties:
size of the total moment = 0.00 μB/f.u.
crystal system = cubic
Fermi-level density of states = 9.484 states/eV/cell
calculated formation energy = 684 meV per atom


This record from Alexandria describes a geometry-optimized LiNb3Te structure. The functional is PBEsol.

```
data_LiNb3Te
_space_group_name_H-M_alt 'P m -3 m'
_space_group_IT_number 221
_space_group_name_Hall '-P 4 2 3'
_cell_length_a 5.039
_cell_length_b 5.039
_cell_length_c 5.039
_cell_angle_alpha 90.00
_cell_angle_beta 90.00
_cell_angle_gamma 90.00
loop_
_atom_site_label
_atom_site_type_symbol
_atom_site_fract_x
_atom_site_fract_y
_atom_site_fract_z
Li1 Li 0.000 0.000 0.000
Nb1 Nb 0.000 0.500 0.500
Te1 Te 0.500 0.500 0.500
```

Computed properties:
size of the total moment = 0.00 μB/f.u.
crystal system = cubic
Fermi-level density of states = 9.490 states/eV/cell
ΔE_f (raw) = 1465 meV/atom


This record from Alexandria describes a geometry-optimized LiYNb3 structure. The functional is PBEsol.

```
data_LiYNb3
_space_group_name_H-M_alt 'P m -3 m'
_space_group_IT_number 221
_space_group_name_Hall '-P 4 2 3'
_cell_length_a 4.910
_cell_length_b 4.910
_cell_length_c 4.910
_cell_angle_alpha 90.00
_cell_angle_beta 90.00
_cell_angle_gamma 90.00
loop_
_atom_site_label
_atom_site_type_symbol
_atom_site_fract_x
_atom_site_fract_y
_atom_site_fract_z
Li1 Li 0.000 0.000 0.000
Y1 Y 0.500 0.500 0.500
Nb1 Nb 0.000 0.500 0.500
```

Computed properties:
distance to the lowest polymorph of the same formula = 983.9 meV/atom
size of the total moment = 0.00 μB/f.u.
crystal system = cubic
Fermi-level density of states = 9.850 states/eV/cell
calculated formation energy = 2027 meV per atom


This record from Alexandria describes a geometry-optimized Li2YNb structure. The functional is PBEsol.

```
data_Li2YNb
_space_group_name_H-M_alt 'I -4 2 d'
_space_group_IT_number 122
_space_group_name_Hall 'I -4 2bw'
_cell_length_a 3.965
_cell_length_b 3.965
_cell_length_c 22.338
_cell_angle_alpha 90.00
_cell_angle_beta 90.00
_cell_angle_gamma 90.00
loop_
_atom_site_label
_atom_site_type_symbol
_atom_site_fract_x
_atom_site_fract_y
_atom_site_fract_z
Li1 Li 0.224 0.250 0.125
Y1 Y 0.000 0.000 0.500
Nb1 Nb 0.000 0.000 0.000
```

Computed properties:
size of the total moment = 0.25 μB/f.u.
crystal system = tetragonal
Fermi-level density of states = 16.468 states/eV/cell
calculated formation energy = 700 meV per atom


This record from Alexandria describes a geometry-optimized LiYNb3 structure. The functional is PBEsol.

```
data_LiYNb3
_space_group_name_H-M_alt 'P m -3 m'
_space_group_IT_number 221
_space_group_name_Hall '-P 4 2 3'
_cell_length_a 4.584
_cell_length_b 4.584
_cell_length_c 4.584
_cell_angle_alpha 90.00
_cell_angle_beta 90.00
_cell_angle_gamma 90.00
loop_
_atom_site_label
_atom_site_type_symbol
_atom_site_fract_x
_atom_site_fract_y
_atom_site_fract_z
Li1 Li 0.000 0.000 0.000
Y1 Y 0.500 0.500 0.500
Nb1 Nb 0.000 0.000 0.500
```

Computed properties:
distance to the lowest polymorph of the same formula = 0.0 meV/atom
size of the total moment = 0.00 μB/f.u.
crystal system = cubic
Fermi-level density of states = 7.341 states/eV/cell
calculated formation energy = 1044 meV per atom


This record from Alexandria describes a geometry-optimized LiNdP4O12 structure. The functional is PBEsol.

```
data_LiNdP4O12
_space_group_name_H-M_alt 'C 1 2/c 1'
_space_group_IT_number 15
_cell_length_a 16.675
_cell_length_b 7.016
_cell_length_c 10.095
_cell_angle_alpha 90.00
_cell_angle_beta 127.21
_cell_angle_gamma 90.00
loop_
_space_group_symop_operation_xyz
'x,y,z'
'-x,-y,-z'
'-x,y,-z+1/2'
'x,-y,z+1/2'
'x+1/2,y+1/2,z'
'-x+1/2,-y+1/2,-z'
'-x+1/2,y+1/2,-z+1/2'
'x+1/2,-y+1/2,z+1/2'
loop_
_atom_site_label
_atom_site_type_symbol
_atom_site_fract_x
_atom_site_fract_y
_atom_site_fract_z
Li1 Li 0.000 0.000 0.000
Nd1 Nd 0.000 0.221 0.250
P1 P 0.133 0.440 0.660
P2 P 0.150 0.166 0.091
O1 O 0.066 0.493 0.201
O2 O 0.078 0.083 0.920
O3 O 0.103 0.271 0.548
O4 O 0.121 0.120 0.203
O5 O 0.160 0.392 0.083
O6 O 0.240 0.402 0.836
```

Computed properties:
size of the total moment = 0.00 μB/f.u.
crystal system = monoclinic
Fermi-level density of states = 0.000 states/eV/cell
ΔE_f (raw) = -2410 meV/atom


This record from Alexandria describes a geometry-optimized LiNd2RuO6 structure. The functional is PBEsol.

```
data_LiNd2RuO6
_space_group_name_H-M_alt 'P 1 21/c 1'
_space_group_IT_number 14
_cell_length_a 5.366
_cell_length_b 5.729
_cell_length_c 9.302
_cell_angle_alpha 90.00
_cell_angle_beta 124.74
_cell_angle_gamma 90.00
loop_
_space_group_symop_operation_xyz
'x,y,z'
'-x,-y,-z'
'-x,y+1/2,-z+1/2'
'x,-y+1/2,z+1/2'
loop_
_atom_site_label
_atom_site_type_symbol
_atom_site_fract_x
_atom_site_fract_y
_atom_site_fract_z
Li1 Li 0.000 0.000 0.000
Nd1 Nd 0.232 0.071 0.749
Ru1 Ru 0.500 0.000 0.500
O1 O 0.158 0.187 0.454
O2 O 0.266 0.712 0.450
O3 O 0.348 0.027 0.255
```

Computed properties:
size of the total moment = 3.01 μB/f.u.
crystal system = monoclinic
Fermi-level density of states = 0.407 states/eV/cell
ΔE_f (raw) = -2441 meV/atom


This record from Alexandria describes a geometry-optimized Li3Nd3Te2O12 structure. The functional is PBEsol.

```
data_Li3Nd3Te2O12
_space_group_name_H-M_alt 'I a -3 d'
_space_group_IT_number 230
_space_group_name_Hall '-I 4bd 2c 3'
_cell_length_a 12.546
_cell_length_b 12.546
_cell_length_c 12.546
_cell_angle_alpha 90.00
_cell_angle_beta 90.00
_cell_angle_gamma 90.00
loop_
_atom_site_label
_atom_site_type_symbol
_atom_site_fract_x
_atom_site_fract_y
_atom_site_fract_z
Li1 Li 0.000 0.250 0.375
Nd1 Nd 0.000 0.250 0.125
Te1 Te 0.000 0.000 0.000
O1 O 0.027 0.051 0.644
```

Computed properties:
size of the total moment = 0.00 μB/f.u.
crystal system = cubic
Fermi-level density of states = 0.000 states/eV/cell
ΔE_f (raw) = -2347 meV/atom


This record from Alexandria describes a geometry-optimized LiNdW2O8 structure. The functional is PBEsol.

```
data_LiNdW2O8
_space_group_name_H-M_alt 'P -1'
_space_group_IT_number 2
_cell_length_a 7.053
_cell_length_b 7.341
_cell_length_c 7.453
_cell_angle_alpha 114.13
_cell_angle_beta 115.56
_cell_angle_gamma 90.88
loop_
_space_group_symop_operation_xyz
'x,y,z'
'-x,-y,-z'
loop_
_atom_site_label
_atom_site_type_symbol
_atom_site_fract_x
_atom_site_fract_y
_atom_site_fract_z
Li1 Li 0.241 0.330 0.494
Nd1 Nd 0.320 0.712 0.041
W1 W 0.146 0.101 0.785
W2 W 0.242 0.705 0.470
O1 O 0.018 0.173 0.492
O2 O 0.052 0.463 0.250
O3 O 0.115 0.828 0.239
O4 O 0.210 0.005 0.981
O5 O 0.319 0.637 0.694
O6 O 0.323 0.357 0.937
O7 O 0.364 0.008 0.694
O8 O 0.461 0.691 0.404
```

Computed properties:
distance to the lowest polymorph of the same formula = 0.0 meV/atom
size of the total moment = 0.00 μB/f.u.
crystal system = triclinic
Fermi-level density of states = 0.000 states/eV/cell
ΔE_f (raw) = -2513 meV/atom


This record from Alexandria describes a geometry-optimized LiNdW2O8 structure. The functional is PBEsol.

```
data_LiNdW2O8
_space_group_name_H-M_alt 'I -4'
_space_group_IT_number 82
_cell_length_a 5.233
_cell_length_b 5.233
_cell_length_c 11.145
_cell_angle_alpha 90.00
_cell_angle_beta 90.00
_cell_angle_gamma 90.00
loop_
_space_group_symop_operation_xyz
'x,y,z'
'y,-x,-z'
'-x,-y,z'
'-y,x,-z'
'x+1/2,y+1/2,z+1/2'
'y+1/2,-x+1/2,-z+1/2'
'-x+1/2,-y+1/2,z+1/2'
'-y+1/2,x+1/2,-z+1/2'
loop_
_atom_site_label
_atom_site_type_symbol
_atom_site_fract_x
_atom_site_fract_y
_atom_site_fract_z
Li1 Li 0.000 0.000 0.000
Nd1 Nd 0.000 0.500 0.750
W1 W 0.000 0.000 0.500
W2 W 0.000 0.500 0.250
O1 O 0.157 0.257 0.162
O2 O 0.159 0.762 0.589
```

Computed properties:
distance to the lowest polymorph of the same formula = 42.5 meV/atom
size of the total moment = 0.00 μB/f.u.
crystal system = tetragonal
Fermi-level density of states = 0.000 states/eV/cell
ΔE_f (raw) = -2470 meV/atom


This record from Alexandria describes a geometry-optimized Li3Nd3W2O12 structure. The functional is PBEsol.

```
data_Li3Nd3W2O12
_space_group_name_H-M_alt 'I a -3 d'
_space_group_IT_number 230
_space_group_name_Hall '-I 4bd 2c 3'
_cell_length_a 12.425
_cell_length_b 12.425
_cell_length_c 12.425
_cell_angle_alpha 90.00
_cell_angle_beta 90.00
_cell_angle_gamma 90.00
loop_
_atom_site_label
_atom_site_type_symbol
_atom_site_fract_x
_atom_site_fract_y
_atom_site_fract_z
Li1 Li 0.000 0.250 0.375
Nd1 Nd 0.000 0.250 0.125
W1 W 0.000 0.000 0.000
O1 O 0.029 0.052 0.644
```

Computed properties:
size of the total moment = 0.00 μB/f.u.
crystal system = cubic
Fermi-level density of states = 0.000 states/eV/cell
ΔE_f (raw) = -2755 meV/atom


This record from Alexandria describes a geometry-optimized LiNd2Os structure. The functional is PBEsol.

```
data_LiNd2Os
_space_group_name_H-M_alt 'F m -3 m'
_space_group_IT_number 225
_space_group_name_Hall '-F 4 2 3'
_cell_length_a 7.051
_cell_length_b 7.051
_cell_length_c 7.051
_cell_angle_alpha 90.00
_cell_angle_beta 90.00
_cell_angle_gamma 90.00
loop_
_atom_site_label
_atom_site_type_symbol
_atom_site_fract_x
_atom_site_fract_y
_atom_site_fract_z
Li1 Li 0.000 0.000 0.000
Nd1 Nd 0.250 0.250 0.250
Os1 Os 0.000 0.000 0.500
```

Computed properties:
size of the total moment = 0.00 μB/f.u.
crystal system = cubic
Fermi-level density of states = 8.627 states/eV/cell
calculated formation energy = -55 meV per atom